VASP calculation (PBE) on a relaxed structure of Ca2Cd3Ge.

```
data_Ca2Cd3Ge
_cell_length_a 3.603
_cell_length_b 4.896
_cell_length_c 8.468
_cell_angle_alpha 90.00
_cell_angle_beta 90.00
_cell_angle_gamma 90.00
_space_group_name_H-M_alt 'P m m 2'
_space_group_IT_number 25
_space_group_name_Hall 'P 2 -2'
loop_
_atom_site_label
_atom_site_type_symbol
_atom_site_fract_x
_atom_site_fract_y
_atom_site_fract_z
_atom_site_occupancy
Ca1 Ca 0.000 0.000 0.000 1
Ca2 Ca 0.000 0.500 0.475 1
Cd1 Cd 0.500 0.000 0.653 1
Cd2 Cd 0.500 0.500 0.152 1
Cd3 Cd 0.500 0.500 0.817 1
Ge1 Ge 0.500 0.000 0.324 1
```

Output
ΔH_f (0 K) = -2.2 eV/f.u.